[1]
! Pm2GePb | the Alexandria database | GGA-PBE | optimized geometry; values from VASP
! Calculated formation energy: -0.52 eV per atom
&SYSTEM
  ibrav = 0, nat = 4, ntyp = 3
/
ATOMIC_SPECIES
Pm 145.00 Pm.upf
Ge 72.64 Ge.upf
Pb 207.20 Pb.upf
CELL_PARAMETERS angstrom
4.963 0.000 0.000
0.000 4.963 0.000
0.000 0.000 4.381
ATOMIC_POSITIONS angstrom
Pm 0.000 2.482 0.000
Pm 2.482 0.000 0.000
Ge 0.000 0.000 2.191
Pb 2.482 2.482 2.191

***

[2]
! PrTmAlTl | the Alexandria database | GGA-PBE | optimized geometry; values from VASP
! Calculated formation energy: -0.32 eV per atom
&SYSTEM
  ibrav = 0, nat = 4, ntyp = 4
/
ATOMIC_SPECIES
Pr 140.91 Pr.upf
Tm 168.93 Tm.upf
Al 26.98 Al.upf
Tl 204.38 Tl.upf
CELL_PARAMETERS angstrom
0.000 3.762 3.762
3.762 0.000 3.762
3.762 3.762 0.000
ATOMIC_POSITIONS angstrom
Pr 0.000 0.000 0.000
Tm 3.762 3.762 3.762
Al 5.643 5.643 5.643
Tl 1.881 1.881 1.881

***

[3]
! CuH6C2SeCl | the Alexandria database | GGA-PBE | optimized geometry; values from VASP
! Electronic total energy: -4.585 eV per atom
&SYSTEM
  ibrav = 0, nat = 44, ntyp = 5
/
ATOMIC_SPECIES
Cu 63.55 Cu.upf
H 1.01 H.upf
C 12.01 C.upf
Se 78.96 Se.upf
Cl 35.45 Cl.upf
CELL_PARAMETERS angstrom
7.894 0.000 0.000
0.000 6.663 0.000
-3.365 0.000 11.371
ATOMIC_POSITIONS angstrom
Cu -1.225 0.093 4.247
Cu -2.907 3.238 9.932
Cu 7.437 3.425 1.438
Cu 5.754 6.569 7.123
H 0.168 3.362 4.973
H -1.514 6.632 10.658
H 1.470 0.122 1.868
H -0.213 3.210 7.553
H 1.711 3.381 4.056
H 0.029 6.614 9.741
H 1.362 4.691 5.257
H -0.320 5.303 10.942
H 0.676 4.777 7.710
H 2.358 5.217 2.024
H 0.564 3.652 9.122
H 2.246 6.342 3.437
H 2.283 0.321 7.934
H 3.966 3.011 2.248
H 2.171 1.446 9.346
H 3.853 1.886 3.661
H 4.850 1.360 0.428
H 3.167 1.972 6.114
H 4.501 0.049 1.629
H 2.818 3.282 7.314
H 4.742 3.453 3.817
H 3.060 6.541 9.503
H 6.044 0.031 0.712
H 4.361 3.301 6.398
C 0.938 3.998 4.524
C -0.745 5.996 10.209
C 0.062 4.031 8.225
C 1.745 5.963 2.540
C 2.785 0.699 8.831
C 4.467 2.632 3.146
C 5.274 0.667 1.162
C 3.592 2.665 6.847
Se -1.596 4.924 8.798
Se 0.087 5.070 3.112
Se 4.443 1.593 8.258
Se 6.125 1.739 2.573
Cl -0.134 0.771 6.207
Cl 1.548 2.560 0.521
Cl 2.981 4.103 10.849
Cl 4.664 5.892 5.164

***

[4]
! NbRhNO2 | the Alexandria database | GGA-PBE | optimized geometry; values from VASP
! Raw formation energy: -0.4619 eV/atom
&SYSTEM
  ibrav = 0, nat = 5, ntyp = 4
/
ATOMIC_SPECIES
Nb 92.91 Nb.upf
Rh 102.91 Rh.upf
N 14.01 N.upf
O 16.00 O.upf
CELL_PARAMETERS angstrom
3.963 0.000 0.000
0.000 3.963 0.000
0.000 0.000 4.158
ATOMIC_POSITIONS angstrom
Nb 0.000 0.000 0.000
Rh 1.982 1.982 2.079
N 0.000 0.000 2.079
O 0.000 1.982 0.000
O 1.982 0.000 0.000

***

[5]
! LiZn2AgH | the Alexandria database | GGA-PBE | optimized geometry; values from VASP
! Electronic total energy: -2.159 eV per atom
&SYSTEM
  ibrav = 0, nat = 5, ntyp = 4
/
ATOMIC_SPECIES
Li 6.94 Li.upf
Zn 65.41 Zn.upf
Ag 107.87 Ag.upf
H 1.01 H.upf
CELL_PARAMETERS angstrom
4.057 0.000 0.000
0.000 4.057 0.000
0.000 0.000 3.847
ATOMIC_POSITIONS angstrom
Li 0.000 0.000 0.000
Zn 0.000 2.029 1.924
Zn 2.029 0.000 1.924
Ag 2.029 2.029 0.000
H 0.000 0.000 1.924

***

[6]
! AlAsSe4 | the Alexandria database | GGA-PBE | optimized geometry; values from VASP
! Raw formation energy: -0.3080 eV/atom
&SYSTEM
  ibrav = 0, nat = 12, ntyp = 3
/
ATOMIC_SPECIES
Al 26.98 Al.upf
As 74.92 As.upf
Se 78.96 Se.upf
CELL_PARAMETERS angstrom
5.849 0.000 0.000
0.000 5.849 0.000
0.000 0.000 9.764
ATOMIC_POSITIONS angstrom
Al 0.000 0.000 0.000
Al 0.000 0.000 4.882
As 0.000 2.924 2.441
As 2.924 0.000 7.323
Se 1.471 1.590 3.759
Se 1.471 4.259 1.123
Se 1.590 1.471 8.640
Se 1.590 4.378 6.005
Se 4.259 1.471 6.005
Se 4.259 4.378 8.640
Se 4.378 1.590 1.123
Se 4.378 4.259 3.759

***

[7]
! Np4Se3S | the Alexandria database | GGA-PBE | optimized geometry; values from VASP
! Raw formation energy: -1.0934 eV/atom
&SYSTEM
  ibrav = 0, nat = 8, ntyp = 3
/
ATOMIC_SPECIES
Np 237.00 Np.upf
Se 78.96 Se.upf
S 32.06 S.upf
CELL_PARAMETERS angstrom
4.047 -5.759 0.000
4.047 5.759 0.000
0.000 0.000 4.036
ATOMIC_POSITIONS angstrom
Np 1.924 0.000 2.018
Np 4.047 2.947 0.000
Np 4.047 -2.947 0.000
Np 6.171 0.000 2.018
Se 2.024 2.880 2.018
Se 2.024 -2.880 2.018
Se 4.047 0.000 0.000
S 0.000 0.000 0.000

***

[8]
! Ce3AsS2 | the Alexandria database | GGA-PBE | optimized geometry; values from VASP
! Raw formation energy: -1.8342 eV/atom
&SYSTEM
  ibrav = 0, nat = 6, ntyp = 3
/
ATOMIC_SPECIES
Ce 140.12 Ce.upf
As 74.92 As.upf
S 32.06 S.upf
CELL_PARAMETERS angstrom
-2.049 2.896 6.130
2.049 -2.896 6.130
2.049 2.896 -6.130
ATOMIC_POSITIONS angstrom
Ce 0.000 0.000 0.000
Ce 0.000 0.000 4.023
Ce 0.000 0.000 8.237
As 0.000 2.896 0.000
S 2.049 0.000 2.017
S 0.000 2.896 4.113